# Ba4RhO6, relaxed, DFT GGA-PBE
data_Ba4RhO6
_cell_length_a 10.3608
_cell_length_b 10.3608
_cell_length_c 12.8083
_cell_angle_alpha 90.00
_cell_angle_beta 90.00
_cell_angle_gamma 120.00
_symmetry_space_group_name_H-M 'R -3 c'
_symmetry_Int_Tables_number 167
_symmetry_space_group_name_Hall '-R 3 2"c'
loop_
_atom_site_label
_atom_site_type_symbol
_atom_site_fract_x
_atom_site_fract_y
_atom_site_fract_z
Ba1 Ba 0.0000 0.0000 0.2500
Ba2 Ba 0.0000 0.3701 0.2500
Rh1 Rh 0.0000 0.0000 0.0000
O1 O 0.0222 0.1766 0.4057
# Crystal system: trigonal
# E_tot (eV/atom): -6.1719
# Formation energy without anion corrections (eV/atom): -2.10
# DOS at the Fermi energy (states/eV/cell): 49.20